Computed, not measured: Y3PBr after structural relaxation at the GGA-PBE level of DFT.

Cell: 5.345 5.345 5.345 Å, 90.00 90.00 90.00°
Atoms (fractional coordinates):
Y 0.000 0.500 0.000
Y 0.000 0.000 0.500
Y 0.500 0.000 0.000
P 0.000 0.000 0.000
Br 0.500 0.500 0.500

Calculated values
The distance to the lowest polymorph of the same formula is 0 meV/atom. For the uncorrected formation energy, the calculation gives -46.5 kJ/mol of atoms.